Record 1
# Ag2PPb

A relaxed structure of Ag2PPb (PBE-GGA, Alexandria).

The structure in POSCAR format:
```
Ag2PPb
1.0
3.737 -2.142 0.000
3.737 2.142 0.000
-2.429 0.000 5.465
Ag P Pb
2 1 1
Direct
0.219 0.219 0.159
0.781 0.781 0.841
0.500 0.500 0.000
0.000 0.000 0.500
```

The value obtained for the total energy is -0.25645 Ry per atom. As for the space-group type: C2/m (12). As for the energy above the most stable polymorph in this dataset: 32 meV/atom. As for the calculated formation energy: 0.2160 eV per atom.

***

Record 2
# Ag3PPb

A relaxed structure of Ag3PPb (PBE-GGA, Alexandria).

The structure in POSCAR format:
```
Ag3PPb
1.0
5.352 0.000 0.000
0.000 5.352 0.000
0.000 0.000 5.352
Ag P Pb
3 1 1
Direct
0.000 0.000 0.500
0.000 0.500 0.000
0.500 0.000 0.000
0.500 0.500 0.500
0.000 0.000 0.000
```

The value obtained for the total energy is -0.17334 Ry per atom. As for the space-group type: Pm-3m (221). As for the energy above the most stable polymorph in this dataset: 912 meV/atom. As for the calculated formation energy: 1.1760 eV per atom.

***

Record 3
# Ag2PPb

A relaxed structure of Ag2PPb (PBE-GGA, Alexandria).

The structure in POSCAR format:
```
Ag2PPb
1.0
1.700 0.981 8.449
-1.700 0.981 8.449
0.000 -1.963 8.449
Ag P Pb
2 1 1
Direct
0.236 0.236 0.236
0.764 0.764 0.764
0.500 0.500 0.500
0.000 0.000 0.000
```

The value obtained for the total energy is -0.25194 Ry per atom. As for the space-group type: R-3m (166). As for the energy above the most stable polymorph in this dataset: 94 meV/atom. As for the calculated formation energy: 0.2774 eV per atom.

***

Record 4
# Ag2PPb

A relaxed structure of Ag2PPb (PBE-GGA, Alexandria).

The structure in POSCAR format:
```
Ag2PPb
1.0
3.525 0.000 0.000
0.000 3.525 0.000
0.000 0.000 6.762
Ag P Pb
2 1 1
Direct
0.000 0.000 0.000
0.500 0.500 0.239
0.000 0.000 0.390
0.500 0.500 0.703
```

The value obtained for the total energy is -0.25172 Ry per atom. As for the space-group type: P4mm (99). As for the energy above the most stable polymorph in this dataset: 97 meV/atom. As for the calculated formation energy: 0.2803 eV per atom.

***

Record 5
# Ag2PPb

A relaxed structure of Ag2PPb (PBE-GGA, Alexandria).

The structure in POSCAR format:
```
Ag2PPb
1.0
3.063 -4.147 0.000
3.063 4.147 0.000
0.000 0.000 3.260
Ag P Pb
2 1 1
Direct
0.000 0.500 0.000
0.500 0.000 0.000
0.000 0.000 0.500
0.500 0.500 0.500
```

The value obtained for the total energy is -0.24692 Ry per atom. As for the space-group type: Cmmm (65). As for the energy above the most stable polymorph in this dataset: 162 meV/atom. As for the calculated formation energy: 0.3457 eV per atom.

***

Record 6
# AgP2Pb

A relaxed structure of AgP2Pb (PBE-GGA, Alexandria).

The structure in POSCAR format:
```
AgP2Pb
1.0
4.696 0.000 0.000
0.000 3.946 0.000
-0.992 0.000 4.984
Ag P Pb
1 2 1
Direct
0.000 0.000 0.000
0.116 0.500 0.707
0.884 0.500 0.293
0.500 0.000 0.500
```

The value obtained for the total energy is -0.30861 Ry per atom. As for the space-group type: P2/m (10). As for the calculated formation energy: 0.1460 eV per atom.

***

Record 7
# AgP2Pb

A relaxed structure of AgP2Pb (PBE-GGA, Alexandria).

The structure in POSCAR format:
```
AgP2Pb
1.0
2.825 -3.871 0.000
2.825 3.871 0.000
-2.029 0.000 3.859
Ag P Pb
1 2 1
Direct
0.000 0.000 0.000
0.000 0.500 0.500
0.500 0.000 0.500
0.500 0.500 0.000
```

The value obtained for the total energy is -0.28651 Ry per atom. As for the space-group type: C2/m (12). As for the calculated formation energy: 0.4466 eV per atom.

***

Record 8
# Ag2P2Pb

A relaxed structure of Ag2P2Pb (PBE-GGA, Alexandria).

The structure in POSCAR format:
```
Ag2P2Pb
1.0
-2.232 2.232 5.123
2.232 -2.232 5.123
2.232 2.232 -5.123
Ag P Pb
2 2 1
Direct
0.250 0.750 0.500
0.750 0.250 0.500
0.109 0.109 0.000
0.891 0.891 0.000
0.500 0.500 0.000
```

The value obtained for the total energy is -0.28725 Ry per atom. As for the space-group type: I4/mmm (139). As for the calculated formation energy: 0.1379 eV per atom.

***

Record 9
# AgP2Pb

A relaxed structure of AgP2Pb (PBE-GGA, Alexandria).

The structure in POSCAR format:
```
AgP2Pb
1.0
1.971 1.138 6.205
-1.971 1.138 6.205
0.000 -2.276 6.205
Ag P Pb
1 2 1
Direct
0.000 0.000 0.000
0.263 0.263 0.263
0.737 0.737 0.737
0.500 0.500 0.500
```

The value obtained for the total energy is -0.29583 Ry per atom. As for the space-group type: R-3m (166). As for the calculated formation energy: 0.3198 eV per atom.

***

Record 10
# Ag2PPb

A relaxed structure of Ag2PPb (PBE-GGA, Alexandria).

The structure in POSCAR format:
```
Ag2PPb
1.0
0.000 3.486 3.486
3.486 0.000 3.486
3.486 3.486 0.000
Ag P Pb
2 1 1
Direct
0.000 0.000 0.000
0.250 0.250 0.250
0.500 0.500 0.500
0.750 0.750 0.750
```

The value obtained for the total energy is -0.24805 Ry per atom. As for the space-group type: F-43m (216). As for the energy above the most stable polymorph in this dataset: 147 meV/atom. As for the calculated formation energy: 0.3303 eV per atom.

***

Record 11
# AgP2Pb

A relaxed structure of AgP2Pb (PBE-GGA, Alexandria).

The structure in POSCAR format:
```
AgP2Pb
1.0
-2.964 2.964 5.904
2.964 -2.964 5.904
2.964 2.964 -5.904
Ag P Pb
2 4 2
Direct
0.000 0.000 0.000
0.750 0.250 0.500
0.096 0.625 0.971
0.375 0.346 0.471
0.654 0.125 0.029
0.875 0.904 0.529
0.250 0.750 0.500
0.500 0.500 0.000
```

The value obtained for the total energy is -0.29682 Ry per atom. As for the space-group type: I-42d (122). As for the calculated formation energy: 0.3064 eV per atom.

***

Record 12
# Ag2PPb

A relaxed structure of Ag2PPb (PBE-GGA, Alexandria).

The structure in POSCAR format:
```
Ag2PPb
1.0
-2.064 2.297 4.404
2.064 -2.297 4.404
2.064 2.297 -4.404
Ag P Pb
2 1 1
Direct
0.000 0.000 0.000
0.729 0.229 0.500
0.202 0.702 0.500
0.461 0.461 0.000
```

The value obtained for the total energy is -0.25038 Ry per atom. As for the space-group type: Imm2 (44). As for the energy above the most stable polymorph in this dataset: 115 meV/atom. As for the calculated formation energy: 0.2986 eV per atom.

***

Record 13
# AgP2Pb

A relaxed structure of AgP2Pb (PBE-GGA, Alexandria).

The structure in POSCAR format:
```
AgP2Pb
1.0
3.682 0.000 0.000
0.000 3.682 0.000
0.000 0.000 6.282
Ag P Pb
1 2 1
Direct
0.000 0.000 0.000
0.500 0.500 0.171
0.500 0.500 0.829
0.000 0.000 0.500
```

The value obtained for the total energy is -0.29698 Ry per atom. As for the space-group type: P4/mmm (123). As for the calculated formation energy: 0.3042 eV per atom.

***

Record 14
# AgP2Pb

A relaxed structure of AgP2Pb (PBE-GGA, Alexandria).

The structure in POSCAR format:
```
AgP2Pb
1.0
4.454 0.000 0.000
0.000 4.454 0.000
0.000 0.000 4.173
Ag P Pb
1 2 1
Direct
0.000 0.000 0.000
0.000 0.500 0.500
0.500 0.000 0.500
0.500 0.500 0.000
```

The value obtained for the total energy is -0.27845 Ry per atom. As for the space-group type: P4/mmm (123). As for the calculated formation energy: 0.5563 eV per atom.

***

Record 15
# AgP2Pb

A relaxed structure of AgP2Pb (PBE-GGA, Alexandria).

The structure in POSCAR format:
```
AgP2Pb
1.0
5.736 -1.643 0.000
5.736 1.643 0.000
-2.074 0.000 4.969
Ag P Pb
1 2 1
Direct
0.000 0.000 0.000
0.233 0.233 0.119
0.767 0.767 0.881
0.500 0.500 0.500
```

The value obtained for the total energy is -0.31417 Ry per atom. As for the space-group type: C2/m (12). As for the calculated formation energy: 0.0703 eV per atom.

***

Record 16
# AgP2Pb

A relaxed structure of AgP2Pb (PBE-GGA, Alexandria).

The structure in POSCAR format:
```
AgP2Pb
1.0
-1.616 2.755 4.890
1.616 -2.755 4.890
1.616 2.755 -4.890
Ag P Pb
1 2 1
Direct
0.000 0.000 0.000
0.609 0.609 0.000
0.766 0.266 0.500
0.273 0.773 0.500
```

The value obtained for the total energy is -0.30021 Ry per atom. As for the space-group type: Imm2 (44). As for the calculated formation energy: 0.2602 eV per atom.

***

Record 17
# Ag5P6Pb2

A relaxed structure of Ag5P6Pb2 (PBE-GGA, Alexandria).

The structure in POSCAR format:
```
Ag5P6Pb2
1.0
6.730 0.000 0.000
-3.365 5.829 0.000
0.000 0.000 7.780
Ag P Pb
5 6 2
Direct
0.000 0.000 0.199
0.000 0.000 0.801
0.000 0.500 0.500
0.500 0.000 0.500
0.500 0.500 0.500
0.000 0.353 0.780
0.000 0.647 0.220
0.353 0.000 0.780
0.353 0.353 0.220
0.647 0.000 0.220
0.647 0.647 0.780
0.333 0.667 0.000
0.667 0.333 0.000
```

The value obtained for the total energy is -0.27262 Ry per atom. As for the space-group type: P-31m (162). As for the calculated formation energy: 0.4548 eV per atom.

***

Record 18
# Ag4PPb

A relaxed structure of Ag4PPb (PBE-GGA, Alexandria).

The structure in POSCAR format:
```
Ag4PPb
1.0
0.000 3.952 3.952
3.952 0.000 3.952
3.952 3.952 0.000
Ag P Pb
4 1 1
Direct
0.125 0.125 0.125
0.125 0.125 0.626
0.125 0.626 0.125
0.626 0.125 0.125
0.750 0.750 0.750
0.500 0.500 0.500
```

The value obtained for the total energy is -0.23026 Ry per atom. As for the space-group type: F-43m (216). As for the calculated formation energy: 0.2876 eV per atom.

***

Record 19
# AgP2Pb

A relaxed structure of AgP2Pb (PBE-GGA, Alexandria).

The structure in POSCAR format:
```
AgP2Pb
1.0
3.231 0.000 0.000
0.000 3.231 0.000
0.000 0.000 7.770
Ag P Pb
1 2 1
Direct
0.000 0.000 0.000
0.000 0.000 0.363
0.500 0.500 0.254
0.500 0.500 0.717
```

The value obtained for the total energy is -0.30004 Ry per atom. As for the space-group type: P4mm (99). As for the calculated formation energy: 0.2625 eV per atom.

***

Record 20
# Ag2PPb

A relaxed structure of Ag2PPb (PBE-GGA, Alexandria).

The structure in POSCAR format:
```
Ag2PPb
1.0
-2.226 2.226 4.165
2.226 -2.226 4.165
2.226 2.226 -4.165
Ag P Pb
2 1 1
Direct
0.250 0.750 0.500
0.750 0.250 0.500
0.000 0.000 0.000
0.500 0.500 0.000
```

The value obtained for the total energy is -0.25263 Ry per atom. As for the space-group type: I4/mmm (139). As for the energy above the most stable polymorph in this dataset: 84 meV/atom. As for the calculated formation energy: 0.2679 eV per atom.

***

Record 21
# AgP2Pb

A relaxed structure of AgP2Pb (PBE-GGA, Alexandria).

The structure in POSCAR format:
```
AgP2Pb
1.0
2.857 -3.785 0.000
2.857 3.785 0.000
0.000 0.000 3.850
Ag P Pb
1 2 1
Direct
0.000 0.000 0.000
0.000 0.500 0.500
0.500 0.000 0.500
0.500 0.500 0.000
```

The value obtained for the total energy is -0.28060 Ry per atom. As for the space-group type: Cmmm (65). As for the calculated formation energy: 0.5270 eV per atom.

***

Record 22
# Ag3PPb

A relaxed structure of Ag3PPb (PBE-GGA, Alexandria).

The structure in POSCAR format:
```
Ag3PPb
1.0
4.871 0.000 0.000
0.000 4.871 0.000
0.000 0.000 4.871
Ag P Pb
3 1 1
Direct
0.000 0.000 0.500
0.000 0.500 0.000
0.500 0.000 0.000
0.000 0.000 0.000
0.500 0.500 0.500
```

The value obtained for the total energy is -0.24035 Ry per atom. As for the space-group type: Pm-3m (221). As for the energy above the most stable polymorph in this dataset: 0 meV/atom. As for the calculated formation energy: 0.2643 eV per atom.

***

Record 23
# Ag2PPb

A relaxed structure of Ag2PPb (PBE-GGA, Alexandria).

The structure in POSCAR format:
```
Ag2PPb
1.0
2.151 1.242 5.620
-2.151 1.242 5.620
0.000 -2.484 5.620
Ag P Pb
2 1 1
Direct
0.000 0.000 0.000
0.226 0.226 0.226
0.612 0.612 0.612
0.782 0.782 0.782
```

The value obtained for the total energy is -0.25883 Ry per atom. As for the space-group type: R3m (160). As for the energy above the most stable polymorph in this dataset: 0 meV/atom. As for the calculated formation energy: 0.1836 eV per atom.

***

Record 24
# Ag2PPb

A relaxed structure of Ag2PPb (PBE-GGA, Alexandria).

The structure in POSCAR format:
```
Ag2PPb
1.0
3.206 0.000 0.000
0.000 4.460 0.000
-1.422 0.000 6.038
Ag P Pb
2 1 1
Direct
0.000 0.000 0.000
0.436 0.500 0.842
0.108 0.500 0.217
0.871 0.000 0.502
```

The value obtained for the total energy is -0.25266 Ry per atom. As for the space-group type: Pm (6). As for the energy above the most stable polymorph in this dataset: 84 meV/atom. As for the calculated formation energy: 0.2676 eV per atom.

***

Record 25
# AgP2Pb

A relaxed structure of AgP2Pb (PBE-GGA, Alexandria).

The structure in POSCAR format:
```
AgP2Pb
1.0
0.000 3.429 3.429
3.429 0.000 3.429
3.429 3.429 0.000
Ag P Pb
1 2 1
Direct
0.000 0.000 0.000
0.250 0.250 0.250
0.500 0.500 0.500
0.750 0.750 0.750
```

The value obtained for the total energy is -0.27540 Ry per atom. As for the space-group type: F-43m (216). As for the calculated formation energy: 0.5979 eV per atom.

***

Record 26
# AgP2Pb

A relaxed structure of AgP2Pb (PBE-GGA, Alexandria).

The structure in POSCAR format:
```
AgP2Pb
1.0
4.662 0.000 0.000
0.000 4.029 0.000
-1.217 0.000 4.684
Ag P Pb
1 2 1
Direct
0.000 0.000 0.000
0.276 0.500 0.778
0.455 0.000 0.663
0.725 0.500 0.314
```

The value obtained for the total energy is -0.29783 Ry per atom. As for the space-group type: Pm (6). As for the calculated formation energy: 0.2927 eV per atom.

***

Record 27
# AgPPb3

A relaxed structure of AgPPb3 (PBE-GGA, Alexandria).

The structure in POSCAR format:
```
AgPPb3
1.0
5.425 0.000 0.000
0.000 5.425 0.000
0.000 0.000 5.425
Ag P Pb
1 1 3
Direct
0.000 0.000 0.000
0.500 0.500 0.500
0.000 0.000 0.500
0.000 0.500 0.000
0.500 0.000 0.000
```

The value obtained for the total energy is -0.23516 Ry per atom. As for the space-group type: Pm-3m (221). As for the energy above the most stable polymorph in this dataset: 161 meV/atom. As for the calculated formation energy: 0.6777 eV per atom.

***

Record 28
# AgP2Pb

A relaxed structure of AgP2Pb (PBE-GGA, Alexandria).

The structure in POSCAR format:
```
AgP2Pb
1.0
-2.272 2.272 3.974
2.272 -2.272 3.974
2.272 2.272 -3.974
Ag P Pb
1 2 1
Direct
0.000 0.000 0.000
0.250 0.750 0.500
0.750 0.250 0.500
0.500 0.500 0.000
```

The value obtained for the total energy is -0.27612 Ry per atom. As for the space-group type: I4/mmm (139). As for the calculated formation energy: 0.5880 eV per atom.

***

Record 29
# AgP2Pb

A relaxed structure of AgP2Pb (PBE-GGA, Alexandria).

The structure in POSCAR format:
```
AgP2Pb
1.0
-2.101 2.101 4.645
2.101 -2.101 4.645
2.101 2.101 -4.645
Ag P Pb
1 2 1
Direct
0.000 0.000 0.000
0.250 0.750 0.500
0.500 0.500 0.000
0.750 0.250 0.500
```

The value obtained for the total energy is -0.27642 Ry per atom. As for the space-group type: I-4m2 (119). As for the calculated formation energy: 0.5839 eV per atom.

***

Record 30
# AgP2Pb

A relaxed structure of AgP2Pb (PBE-GGA, Alexandria).

The structure in POSCAR format:
```
AgP2Pb
1.0
-2.413 2.933 3.167
2.413 -2.933 3.167
2.413 2.933 -3.167
Ag P Pb
1 2 1
Direct
0.000 0.000 0.000
0.176 0.676 0.500
0.824 0.324 0.500
0.500 0.500 0.000
```

The value obtained for the total energy is -0.29551 Ry per atom. As for the space-group type: Immm (71). As for the calculated formation energy: 0.3243 eV per atom.